Record 1
The following is a PBE calculation of a geometry-optimized CdAuF5 structure, from the Alexandria database.

Structure (extended XYZ):
```
14
Lattice="5.068 1.256 -1.287 -0.520 4.773 -2.435 0.685 -0.616 9.373" Properties=species:S:1:pos:R:3 pbc="T T T"
F 0.318 2.310 -0.189
F 0.536 3.676 4.855
F 4.903 3.114 5.824
F 1.811 2.507 1.957
F 3.447 4.476 0.820
F 3.410 2.916 3.677
F 4.684 1.748 0.780
F 1.775 0.948 4.816
F 1.704 4.346 -1.522
F 3.517 1.078 7.157
Cd 5.145 3.339 2.174
Cd 5.747 0.645 8.078
Au 3.374 1.978 5.391
Au 1.847 3.446 0.244
```

Formation energy (no corrections) ... -1.49 eV per atom

---

Record 2
The following is a PBE calculation of a geometry-optimized CdAuF2 structure, from the Alexandria database.

Structure (extended XYZ):
```
4
Lattice="1.880 0.000 9.041 -0.940 1.628 9.041 -0.940 -1.628 9.041" Properties=species:S:1:pos:R:3 pbc="T T T"
Cd 0.000 0.000 13.561
F 0.000 0.000 23.812
F 0.000 0.000 3.311
Au 0.000 0.000 0.000
```

Distance to the lowest polymorph of the same formula ... 0 meV per atom
Formation energy (no corrections) ... -1.24 eV per atom

---

Record 3
The following is a PBE calculation of a geometry-optimized CdAu3F structure, from the Alexandria database.

Structure (extended XYZ):
```
5
Lattice="-0.180 -1.625 -4.355 3.499 -2.916 0.943 -3.059 -3.240 1.335" Properties=species:S:1:pos:R:3 pbc="T T T"
Au -0.090 -0.812 -2.178
Au 1.750 -1.458 0.472
Au -1.530 -1.620 0.667
Cd 0.130 -3.890 -1.038
F 0.000 0.000 0.000
```

Distance to the lowest polymorph of the same formula ... 0 meV per atom
Formation energy (no corrections) ... 0.21 eV per atom

---

Record 4
The following is a PBE calculation of a geometry-optimized CdAuF4 structure, from the Alexandria database.

Structure (extended XYZ):
```
12
Lattice="0.964 -4.987 -2.332 5.382 0.354 1.468 -4.338 -0.188 5.307" Properties=species:S:1:pos:R:3 pbc="T T T"
F 1.017 -2.639 3.543
F -0.130 -0.189 4.528
F 2.138 -4.633 -0.085
F 0.990 -2.183 0.900
F -2.702 -0.983 3.506
F 3.562 -1.389 1.922
F 4.709 -3.839 0.938
F -1.554 -3.433 2.521
Cd 2.590 -3.569 2.005
Cd -0.583 -1.252 2.438
Au 2.691 0.177 0.734
Au 0.482 -2.494 -1.166
```

Distance to the lowest polymorph of the same formula ... 0 meV per atom
Formation energy (no corrections) ... -1.50 eV per atom

---

Q: Which formula does entry 2 have?
A: CdAuF2

---

Q: The highest formation energy (no corrections) belongs to which entry?
A: CdAu3F

---

Q: Among the records above, which one has the highest formation energy (no corrections)?
A: CdAu3F